Entry 1:
The following is a DFT calculation (GGA-PBEsol) of an optimized crystal structure of Tl2MoSe.

Unit cell a=4.978 b=4.978 c=4.978 alpha=60.00 beta=60.00 gamma=60.00
Fractional coordinates of all 4 atoms:
Tl 0.250 0.250 0.250
Tl 0.750 0.750 0.750
Mo 0.000 0.000 0.000
Se 0.500 0.500 0.500

The calculation puts the total energy at -17.10 eV/cell. The energy relative to the elements, uncorrected is 944 meV per atom. As for the density of states at the Fermi level: 4.3 states/eV/cell.

***

Entry 2:
The following is a DFT calculation (GGA-PBEsol) of an optimized crystal structure of Hf2FePtW.

Unit cell a=4.935 b=4.935 c=4.734 alpha=90.00 beta=90.00 gamma=90.00
Fractional coordinates of all 5 atoms:
Hf 0.000 0.500 0.000
Hf 0.500 0.000 0.000
Fe 0.000 0.000 0.500
Pt 0.500 0.500 0.000
W 0.500 0.500 0.500

The value obtained for the energy of formation is 630 kJ/mol of formula units. The calculation puts the total energy at -44.21 eV/cell. As for the density of states at the Fermi level: 8.1 states/eV/cell.

***

Entry 3:
The following is a DFT calculation (GGA-PBEsol) of an optimized crystal structure of ZrBrCl2.

Unit cell a=3.712 b=4.578 c=4.622 alpha=90.00 beta=90.00 gamma=90.00
Fractional coordinates of all 4 atoms:
Zr 0.000 0.000 0.000
Br 0.500 0.500 0.000
Cl 0.000 0.500 0.500
Cl 0.500 0.000 0.500

The calculation puts the total energy at -17.09 eV/cell. The energy relative to the elements, uncorrected is -529 meV per atom. As for the density of states at the Fermi level: 1.9 states/eV/cell.

***

Entry 4:
The following is a DFT calculation (GGA-PBEsol) of an optimized crystal structure of Zr2Be2Os.

Unit cell a=6.451 b=6.451 c=3.474 alpha=90.00 beta=90.00 gamma=90.00
Fractional coordinates of all 10 atoms:
Zr 0.181 0.319 0.000
Zr 0.319 0.819 0.000
Zr 0.681 0.181 0.000
Zr 0.819 0.681 0.000
Be 0.118 0.618 0.500
Be 0.382 0.118 0.500
Be 0.618 0.882 0.500
Be 0.882 0.382 0.500
Os 0.000 0.000 0.500
Os 0.500 0.500 0.500

The value obtained for the energy of formation is -152 kJ/mol of formula units. The calculation puts the total energy at -79.94 eV/cell. As for the density of states at the Fermi level: 8.8 states/eV/cell.

***

Entry 5:
The following is a DFT calculation (GGA-PBEsol) of an optimized crystal structure of CsAlZnF6.

Unit cell a=7.152 b=7.092 c=10.070 alpha=90.00 beta=90.00 gamma=90.00
Fractional coordinates of all 36 atoms:
Cs 0.015 0.250 0.128
Cs 0.485 0.750 0.628
Cs 0.515 0.250 0.372
Cs 0.985 0.750 0.872
Al 0.000 0.000 0.500
Al 0.000 0.500 0.500
Al 0.500 0.000 0.000
Al 0.500 0.500 0.000
Zn 0.222 0.250 0.761
Zn 0.278 0.750 0.261
Zn 0.722 0.250 0.739
Zn 0.778 0.750 0.239
F 0.036 0.250 0.460
F 0.037 0.750 0.167
F 0.144 0.021 0.646
F 0.144 0.479 0.646
F 0.206 0.554 0.404
F 0.206 0.946 0.404
F 0.294 0.054 0.904
F 0.294 0.446 0.904
F 0.356 0.521 0.146
F 0.356 0.979 0.146
F 0.463 0.250 0.667
F 0.464 0.750 0.960
F 0.536 0.250 0.040
F 0.537 0.750 0.333
F 0.644 0.021 0.854
F 0.644 0.479 0.854
F 0.706 0.554 0.096
F 0.706 0.946 0.096
F 0.794 0.054 0.596
F 0.794 0.446 0.596
F 0.856 0.521 0.354
F 0.856 0.979 0.354
F 0.963 0.250 0.833
F 0.964 0.750 0.540

The calculation puts the total energy at -183.05 eV/cell. The energy relative to the elements, uncorrected is -3065 meV per atom. As for the density of states at the Fermi level: 0.0 states/eV/cell.

***

Entry 6:
The following is a DFT calculation (GGA-PBEsol) of an optimized crystal structure of SrPAu2.

Unit cell a=4.204 b=4.267 c=5.229 alpha=90.00 beta=90.00 gamma=90.00
Fractional coordinates of all 4 atoms:
Sr 0.000 0.000 0.000
P 0.500 0.000 0.500
Au 0.500 0.500 0.249
Au 0.500 0.500 0.751

The value obtained for the energy of formation is -186 kJ/mol of formula units. The calculation puts the total energy at -17.40 eV/cell. As for the density of states at the Fermi level: 1.4 states/eV/cell.

***

Entry 7:
The following is a DFT calculation (GGA-PBEsol) of an optimized crystal structure of FeCoW.

Unit cell a=4.082 b=4.082 c=2.554 alpha=90.00 beta=90.00 gamma=120.00
Fractional coordinates of all 3 atoms:
Fe 0.000 0.000 0.000
Co 0.667 0.333 0.224
W 0.333 0.667 0.633

The value obtained for the energy of formation is 44 kJ/mol of formula units. The calculation puts the total energy at -30.05 eV/cell. As for the density of states at the Fermi level: 4.0 states/eV/cell.

***

Entry 8:
The following is a DFT calculation (GGA-PBEsol) of an optimized crystal structure of Tb2CoGe2.

Unit cell a=5.571 b=5.571 c=10.086 alpha=115.46 beta=115.46 gamma=43.71
Fractional coordinates of all 10 atoms:
Tb 0.004 0.004 0.332
Tb 0.189 0.189 0.116
Tb 0.811 0.811 0.884
Tb 0.996 0.996 0.668
Co 0.275 0.275 0.655
Co 0.725 0.725 0.345
Ge 0.341 0.341 0.440
Ge 0.487 0.487 0.123
Ge 0.513 0.513 0.877
Ge 0.659 0.659 0.560

The value obtained for the energy of formation is -385 kJ/mol of formula units. The calculation puts the total energy at -63.26 eV/cell. As for the density of states at the Fermi level: 6.5 states/eV/cell.

***

Entry 9:
The following is a DFT calculation (GGA-PBEsol) of an optimized crystal structure of Mn5P.

Unit cell a=5.306 b=5.306 c=3.567 alpha=90.00 beta=90.00 gamma=140.79
Fractional coordinates of all 6 atoms:
Mn 0.000 0.000 0.000
Mn 0.170 0.830 0.500
Mn 0.330 0.670 0.000
Mn 0.670 0.330 0.000
Mn 0.830 0.170 0.500
P 0.500 0.500 0.500

The value obtained for the energy of formation is -99 kJ/mol of formula units. The calculation puts the total energy at -55.62 eV/cell. As for the density of states at the Fermi level: 5.6 states/eV/cell.

***

Entry 10:
The following is a DFT calculation (GGA-PBEsol) of an optimized crystal structure of BeP3Os.

Unit cell a=4.058 b=4.058 c=4.058 alpha=90.00 beta=90.00 gamma=90.00
Fractional coordinates of all 5 atoms:
Be 0.000 0.000 0.000
P 0.000 0.000 0.500
P 0.000 0.500 0.000
P 0.500 0.000 0.000
Os 0.500 0.500 0.500

The value obtained for the energy of formation is 496 kJ/mol of formula units. The calculation puts the total energy at -28.45 eV/cell. As for the density of states at the Fermi level: 3.9 states/eV/cell.

***

Entry 11:
The following is a DFT calculation (GGA-PBEsol) of an optimized crystal structure of N.

Unit cell a=2.533 b=2.533 c=2.427 alpha=90.00 beta=90.00 gamma=120.00
Fractional coordinates of all 2 atoms:
N 0.333 0.667 0.250
N 0.667 0.333 0.750

The calculation puts the total energy at -10.46 eV/cell. The energy relative to the elements, uncorrected is 3295 meV per atom. As for the density of states at the Fermi level: 0.8 states/eV/cell.

***

Entry 12:
The following is a DFT calculation (GGA-PBEsol) of an optimized crystal structure of Sr2TiBeO.

Unit cell a=6.160 b=6.160 c=3.727 alpha=90.00 beta=90.00 gamma=90.00
Fractional coordinates of all 5 atoms:
Sr 0.000 0.500 0.000
Sr 0.500 0.000 0.000
Ti 0.000 0.000 0.000
Be 0.500 0.500 0.500
O 0.000 0.000 0.500

The calculation puts the total energy at -21.46 eV/cell. The energy relative to the elements, uncorrected is -42 meV per atom. As for the density of states at the Fermi level: 5.0 states/eV/cell.

***

Entry 13:
The following is a DFT calculation (GGA-PBEsol) of an optimized crystal structure of ZrSc2Al.

Unit cell a=5.379 b=5.379 c=5.379 alpha=132.98 beta=132.98 gamma=68.69
Fractional coordinates of all 4 atoms:
Zr 0.000 0.000 0.000
Sc 0.250 0.750 0.500
Sc 0.500 0.500 0.000
Al 0.750 0.250 0.500

The value obtained for the energy of formation is -91 kJ/mol of formula units. The calculation puts the total energy at -27.33 eV/cell. As for the density of states at the Fermi level: 4.7 states/eV/cell.

***

Entry 14:
The following is a DFT calculation (GGA-PBEsol) of an optimized crystal structure of YP2OsO.

Unit cell a=5.154 b=5.154 c=3.912 alpha=90.00 beta=90.00 gamma=90.00
Fractional coordinates of all 5 atoms:
Y 0.000 0.000 0.000
P 0.000 0.500 0.000
P 0.500 0.000 0.000
Os 0.500 0.500 0.500
O 0.000 0.000 0.500

The calculation puts the total energy at -31.00 eV/cell. The energy relative to the elements, uncorrected is 974 meV per atom. As for the density of states at the Fermi level: 5.5 states/eV/cell.

***

Entry 15:
The following is a DFT calculation (GGA-PBEsol) of an optimized crystal structure of Re2RhPb.

Unit cell a=5.009 b=5.009 c=2.896 alpha=90.00 beta=90.00 gamma=116.78
Fractional coordinates of all 4 atoms:
Re 0.000 0.500 0.000
Re 0.500 0.000 0.000
Rh 0.000 0.000 0.500
Pb 0.500 0.500 0.500

The value obtained for the energy of formation is 316 kJ/mol of formula units. The calculation puts the total energy at -35.52 eV/cell. As for the density of states at the Fermi level: 4.1 states/eV/cell.

***

Entry 16:
The following is a DFT calculation (GGA-PBEsol) of an optimized crystal structure of CdW2AuF.

Unit cell a=4.954 b=4.954 c=4.078 alpha=90.00 beta=90.00 gamma=90.00
Fractional coordinates of all 5 atoms:
Cd 0.000 0.000 0.000
W 0.000 0.500 0.500
W 0.500 0.000 0.500
Au 0.500 0.500 0.500
F 0.500 0.500 0.000

The calculation puts the total energy at -25.16 eV/cell. The energy relative to the elements, uncorrected is 1901 meV per atom. As for the density of states at the Fermi level: 6.0 states/eV/cell.

***

Entry 17:
The following is a DFT calculation (GGA-PBEsol) of an optimized crystal structure of Be2CoBiO.

Unit cell a=4.671 b=4.671 c=4.335 alpha=90.00 beta=90.00 gamma=90.00
Fractional coordinates of all 5 atoms:
Be 0.000 0.500 0.000
Be 0.500 0.000 0.000
Co 0.000 0.000 0.500
Bi 0.500 0.500 0.000
O 0.500 0.500 0.500

The calculation puts the total energy at -18.21 eV/cell. The energy relative to the elements, uncorrected is 1413 meV per atom. As for the density of states at the Fermi level: 1.7 states/eV/cell.

***

Entry 18:
The following is a DFT calculation (GGA-PBEsol) of an optimized crystal structure of KTlTc2.

Unit cell a=5.351 b=5.351 c=6.203 alpha=101.25 beta=101.25 gamma=38.49
Fractional coordinates of all 4 atoms:
K 0.000 0.000 0.000
Tl 0.500 0.500 0.500
Tc 0.235 0.235 0.605
Tc 0.765 0.765 0.395

The value obtained for the energy of formation is 351 kJ/mol of formula units. The calculation puts the total energy at -22.66 eV/cell. As for the density of states at the Fermi level: 3.4 states/eV/cell.

***

Entry 19:
The following is a DFT calculation (GGA-PBEsol) of an optimized crystal structure of ZrMnF6.

Unit cell a=5.801 b=5.801 c=5.801 alpha=60.00 beta=60.00 gamma=60.00
Fractional coordinates of all 8 atoms:
Zr 0.000 0.000 0.000
Mn 0.500 0.500 0.500
F 0.245 0.245 0.755
F 0.245 0.755 0.245
F 0.245 0.755 0.755
F 0.755 0.245 0.245
F 0.755 0.245 0.755
F 0.755 0.755 0.245

The calculation puts the total energy at -56.09 eV/cell. The energy relative to the elements, uncorrected is -3209 meV per atom. As for the density of states at the Fermi level: 0.0 states/eV/cell.

***

Entry 20:
The following is a DFT calculation (GGA-PBEsol) of an optimized crystal structure of CaTc2As.

Unit cell a=8.856 b=8.856 c=8.856 alpha=19.69 beta=19.69 gamma=19.69
Fractional coordinates of all 4 atoms:
Ca 0.000 0.000 0.000
Tc 0.500 0.500 0.500
Tc 0.757 0.757 0.757
As 0.236 0.236 0.236

The value obtained for the energy of formation is 104 kJ/mol of formula units. The calculation puts the total energy at -28.69 eV/cell. As for the density of states at the Fermi level: 3.1 states/eV/cell.